# 1
BaUAl2O8: relaxed, GGA-PBE.

a b c (Å): 4.762 4.754 7.577
angles (deg): 91.62 86.88 86.34
Element x y z (fractional)
1 Ba 0.000 0.000 0.500
2 U 0.000 0.000 0.000
3 Al 0.508 0.496 0.819
4 Al 0.492 0.504 0.181
5 O 0.196 0.791 0.191
6 O 0.683 0.687 0.999
7 O 0.772 0.222 0.208
8 O 0.804 0.209 0.809
9 O 0.317 0.313 0.001
10 O 0.228 0.778 0.792
11 O 0.419 0.573 0.430
12 O 0.581 0.427 0.570

Summary:
Formation energy (no corrections), eV/atom: -2.654



# 2
BaUAlO5: relaxed, GGA-PBE.

a b c (Å): 6.119 6.119 7.982
angles (deg): 104.09 104.09 106.48
Each line ends with the local moment (μB).
Element x y z (fractional)
1 Ba 0.336 0.664 0.250  0.00
2 Ba 0.664 0.336 0.750  0.00
3 U 0.000 0.000 0.500  1.07
4 U 0.000 0.000 0.000  1.07
5 Al 0.688 0.312 0.250  0.00
6 Al 0.312 0.688 0.750  0.00
7 O 0.070 0.930 0.250  -0.03
8 O 0.930 0.070 0.750  -0.03
9 O 0.882 0.294 0.113  -0.02
10 O 0.118 0.706 0.887  -0.02
11 O 0.706 0.118 0.387  -0.02
12 O 0.294 0.882 0.613  -0.02
13 O 0.764 0.620 0.394  -0.02
14 O 0.236 0.380 0.606  -0.02
15 O 0.380 0.236 0.106  -0.02
16 O 0.620 0.764 0.894  -0.02

Summary:
Formation energy (no corrections), eV/atom: -3.128
D(E_F), states/eV per atom: 0.00



The volume results, record by record, are as follows: 14.24, 16.36 Å³/atom.